Record 1
# TlInAs2 | Alexandria | PBE-GGA | relaxed
# ΔH_f (0 K) = 0.072 eV/atom
# N(E_F) = 2.2 states/eV/f.u.
# excess energy over the best structure of this formula in the dataset = 0.136 eV per atom
# calculated total energy = -3.529 eV/atom
data_TlInAs2
_symmetry_space_group_name_H-M 'R -3 m'
_symmetry_Int_Tables_number 166
_symmetry_space_group_name_Hall '-R 3 2"'
_cell_length_a 4.0513
_cell_length_b 4.0513
_cell_length_c 20.9906
_cell_angle_alpha 90.00
_cell_angle_beta 90.00
_cell_angle_gamma 120.00
loop_
_atom_site_label
_atom_site_fract_x
_atom_site_fract_y
_atom_site_fract_z
Tl1 0.0000 0.0000 0.0000
In1 0.0000 0.0000 0.5000
As1 0.0000 0.0000 0.2435

Record 2
# Tl2InAs | Alexandria | PBE-GGA | relaxed
# ΔH_f (0 K) = 0.231 eV/atom
# N(E_F) = 1.0 states/eV/f.u.
# calculated total energy = -2.799 eV/atom
data_Tl2InAs
_symmetry_space_group_name_H-M 'I -4 2 d'
_symmetry_Int_Tables_number 122
_symmetry_space_group_name_Hall 'I -4 2bw'
_cell_length_a 7.097
_cell_length_b 7.097
_cell_length_c 11.491
_cell_angle_alpha 90.00
_cell_angle_beta 90.00
_cell_angle_gamma 90.00
loop_
_atom_site_label
_atom_site_fract_x
_atom_site_fract_y
_atom_site_fract_z
Tl1 0.222 0.250 0.125
In1 0.000 0.000 0.500
As1 0.000 0.000 0.000

Record 3
# TlInAs2 | Alexandria | PBE-GGA | relaxed
# ΔH_f (0 K) = 0.094 eV/atom
# N(E_F) = 1.7 states/eV/f.u.
# excess energy over the best structure of this formula in the dataset = 0.158 eV per atom
# calculated total energy = -3.506 eV/atom
data_TlInAs2
_symmetry_space_group_name_H-M 'P 4/m m m'
_symmetry_Int_Tables_number 123
_symmetry_space_group_name_Hall '-P 4 2'
_cell_length_a 3.881
_cell_length_b 3.881
_cell_length_c 6.892
_cell_angle_alpha 90.00
_cell_angle_beta 90.00
_cell_angle_gamma 90.00
loop_
_atom_site_label
_atom_site_fract_x
_atom_site_fract_y
_atom_site_fract_z
Tl1 0.000 0.000 0.000
In1 0.000 0.000 0.500
As1 0.500 0.500 0.317

Record 4
# Tl2InAs | Alexandria | PBE-GGA | relaxed
# ΔH_f (0 K) = 0.128 eV/atom
# N(E_F) = 1.4 states/eV/f.u.
# calculated total energy = -2.902 eV/atom
data_Tl2InAs
_symmetry_space_group_name_H-M 'F m -3 m'
_symmetry_Int_Tables_number 225
_symmetry_space_group_name_Hall '-F 4 2 3'
_cell_length_a 7.618
_cell_length_b 7.618
_cell_length_c 7.618
_cell_angle_alpha 90.00
_cell_angle_beta 90.00
_cell_angle_gamma 90.00
loop_
_atom_site_label
_atom_site_fract_x
_atom_site_fract_y
_atom_site_fract_z
Tl1 0.250 0.250 0.250
In1 0.000 0.000 0.000
As1 0.000 0.000 0.500

Record 5
# TlInAs2 | Alexandria | PBE-GGA | relaxed
# ΔH_f (0 K) = 0.260 eV/atom
# N(E_F) = 2.7 states/eV/f.u.
# excess energy over the best structure of this formula in the dataset = 0.324 eV per atom
# calculated total energy = -3.341 eV/atom
data_TlInAs2
_symmetry_space_group_name_H-M 'F m -3 m'
_symmetry_Int_Tables_number 225
_symmetry_space_group_name_Hall '-F 4 2 3'
_cell_length_a 7.257
_cell_length_b 7.257
_cell_length_c 7.257
_cell_angle_alpha 90.00
_cell_angle_beta 90.00
_cell_angle_gamma 90.00
loop_
_atom_site_label
_atom_site_fract_x
_atom_site_fract_y
_atom_site_fract_z
Tl1 0.000 0.000 0.000
In1 0.000 0.000 0.500
As1 0.250 0.250 0.250

Record 6
# Tl2InAs | Alexandria | PBE-GGA | relaxed
# ΔH_f (0 K) = 0.118 eV/atom
# N(E_F) = 1.6 states/eV/f.u.
# calculated total energy = -2.913 eV/atom
data_Tl2InAs
_symmetry_space_group_name_H-M 'P 1 2/m 1'
_symmetry_Int_Tables_number 10
_cell_length_a 3.329
_cell_length_b 4.923
_cell_length_c 6.737
_cell_angle_alpha 90.00
_cell_angle_beta 96.74
_cell_angle_gamma 90.00
loop_
_symmetry_equiv_pos_as_xyz
'x,y,z'
'-x,-y,-z'
'-x,y,-z'
'x,-y,z'
loop_
_atom_site_label
_atom_site_fract_x
_atom_site_fract_y
_atom_site_fract_z
Tl1 0.084 0.000 0.264
In1 0.500 0.500 0.000
As1 0.500 0.500 0.500

The lowest N(E_F) belongs to which entry? number 2